Below is Tb19Pm4Tm6 after structural relaxation, with properties calculated at the PBE level.

Cell lengths 12.484, 12.484, 12.484 Å; angles 90.00, 90.00, 90.00 degrees
Space group I23 (No. 197)
Inequivalent atoms, fractional coordinates:
1 Tb 0.000 0.000 0.000
2 Tb 0.000 0.000 0.263
3 Tb 0.062 0.266 0.277
4 Pm 0.180 0.180 0.820
5 Tm 0.000 0.374 0.500

Calculated values
energy relative to the elements = 11.4 eV per formula unit
E_tot = -4.222 eV/atom
crystal system = cubic